(1)
# Sc2TaZnI (PBE-GGA, optimized geometry)
# - DOS(E_F) (states/eV/f.u.) = 6.14
# - symmetry = P4/mmm (123)
# - calculated total energy (eV/atom) = -4.799
data_Sc2TaZnI
_space_group_name_H-M_alt 'P 1'
_space_group_IT_number 1
_cell_length_a 5.211
_cell_length_b 5.135
_cell_length_c 5.211
_cell_angle_alpha 90.00
_cell_angle_beta 90.00
_cell_angle_gamma 90.00
loop_
_space_group_symop_operation_xyz
'x,y,z'
loop_
_atom_site_label
_atom_site_type_symbol
_atom_site_fract_x
_atom_site_fract_y
_atom_site_fract_z
I1 I 0.500 0.500 0.500
Sc1 Sc 0.000 0.000 0.500
Sc2 Sc 0.500 0.000 0.000
Zn1 Zn 0.000 0.500 0.000
Ta1 Ta 0.000 0.000 0.000


(2)
# TbSc2I6 (PBE-GGA, optimized geometry)
# - DOS(E_F) (states/eV/f.u.) = 6.62
# - symmetry = C2/m (12)
# - calculated total energy (eV/atom) = -4.096
data_TbSc2I6
_space_group_name_H-M_alt 'P 1'
_space_group_IT_number 1
_cell_length_a 4.072
_cell_length_b 8.646
_cell_length_c 11.200
_cell_angle_alpha 114.94
_cell_angle_beta 90.00
_cell_angle_gamma 103.62
loop_
_space_group_symop_operation_xyz
'x,y,z'
loop_
_atom_site_label
_atom_site_type_symbol
_atom_site_fract_x
_atom_site_fract_y
_atom_site_fract_z
Tb1 Tb 0.000 0.000 0.500
Sc1 Sc 0.676 0.352 0.849
Sc2 Sc 0.324 0.648 0.151
I1 I 0.310 0.621 0.883
I2 I 0.690 0.379 0.117
I3 I 0.967 0.934 0.209
I4 I 0.650 0.300 0.561
I5 I 0.033 0.066 0.791
I6 I 0.350 0.700 0.439


(3)
# TbScI (PBE-GGA, optimized geometry)
# - DOS(E_F) (states/eV/f.u.) = 3.14
# - symmetry = P3m1 (156)
# - calculated total energy (eV/atom) = -4.300
data_TbScI
_space_group_name_H-M_alt 'P 1'
_space_group_IT_number 1
_cell_length_a 3.725
_cell_length_b 5.148
_cell_length_c 5.148
_cell_angle_alpha 120.00
_cell_angle_beta 90.00
_cell_angle_gamma 90.00
loop_
_space_group_symop_operation_xyz
'x,y,z'
loop_
_atom_site_label
_atom_site_type_symbol
_atom_site_fract_x
_atom_site_fract_y
_atom_site_fract_z
I1 I 0.134 0.000 0.000
Sc1 Sc 0.179 0.333 0.667
Tb1 Tb 0.687 0.667 0.333


(4)
# TbScI4 (PBE-GGA, optimized geometry)
# - DOS(E_F) (states/eV/f.u.) = 3.89
# - symmetry = P2/m (10)
# - calculated total energy (eV/atom) = -4.021
data_TbScI4
_space_group_name_H-M_alt 'P 1'
_space_group_IT_number 1
_cell_length_a 4.094
_cell_length_b 7.133
_cell_length_c 8.293
_cell_angle_alpha 106.17
_cell_angle_beta 90.00
_cell_angle_gamma 90.00
loop_
_space_group_symop_operation_xyz
'x,y,z'
loop_
_atom_site_label
_atom_site_type_symbol
_atom_site_fract_x
_atom_site_fract_y
_atom_site_fract_z
Tb1 Tb 0.000 0.500 0.500
Sc1 Sc 0.500 0.000 0.500
I1 I 0.000 0.232 0.732
I2 I 0.000 0.768 0.268
I3 I 0.500 0.756 0.741
I4 I 0.500 0.244 0.259


(5)
# ScTc2I (PBE-GGA, optimized geometry)
# - DOS(E_F) (states/eV/f.u.) = 5.81
# - symmetry = I-42d (122)
# - calculated total energy (eV/atom) = -6.194
data_ScTc2I
_space_group_name_H-M_alt 'P 1'
_space_group_IT_number 1
_cell_length_a 7.742
_cell_length_b 7.742
_cell_length_c 6.096
_cell_angle_alpha 50.58
_cell_angle_beta 50.58
_cell_angle_gamma 90.00
loop_
_space_group_symop_operation_xyz
'x,y,z'
loop_
_atom_site_label
_atom_site_type_symbol
_atom_site_fract_x
_atom_site_fract_y
_atom_site_fract_z
I1 I 0.000 0.000 0.000
I2 I 0.750 0.250 0.500
Sc1 Sc 0.500 0.500 0.000
Sc2 Sc 0.250 0.750 0.500
Tc1 Tc 0.632 0.125 0.250
Tc2 Tc 0.118 0.625 0.250
Tc3 Tc 0.375 0.368 0.750
Tc4 Tc 0.875 0.882 0.750


(6)
# Sc2Tc2I (PBE-GGA, optimized geometry)
# - DOS(E_F) (states/eV/f.u.) = 6.20
# - symmetry = P4/mbm (127)
# - calculated total energy (eV/atom) = -6.881
data_Sc2Tc2I
_space_group_name_H-M_alt 'P 1'
_space_group_IT_number 1
_cell_length_a 7.805
_cell_length_b 7.805
_cell_length_c 3.398
_cell_angle_alpha 90.00
_cell_angle_beta 90.00
_cell_angle_gamma 90.00
loop_
_space_group_symop_operation_xyz
'x,y,z'
loop_
_atom_site_label
_atom_site_type_symbol
_atom_site_fract_x
_atom_site_fract_y
_atom_site_fract_z
I1 I 0.000 0.000 0.000
I2 I 0.500 0.500 0.000
Sc1 Sc 0.181 0.681 0.500
Sc2 Sc 0.681 0.819 0.500
Sc3 Sc 0.819 0.319 0.500
Sc4 Sc 0.319 0.181 0.500
Tc1 Tc 0.398 0.898 0.000
Tc2 Tc 0.898 0.602 0.000
Tc3 Tc 0.602 0.102 0.000
Tc4 Tc 0.102 0.398 0.000